The following is a DFT calculation (PBE) of a relaxed structure of LiZn2Ru. Values from VASP.

Values from the calculation:
Space group   R-3m (166)
Formation enthalpy at 0 K   -0.047 eV/atom
E_tot   -0.25591 Ry/atom

```
&SYSTEM
  ibrav = 0, nat = 4, ntyp = 3
/
ATOMIC_SPECIES
Li 6.94 Li.upf
Zn 65.41 Zn.upf
Ru 101.07 Ru.upf
CELL_PARAMETERS angstrom
1.366 0.789 8.890
-1.366 0.789 8.890
0.000 -1.577 8.890
ATOMIC_POSITIONS crystal
Li 0.000 0.000 0.000
Zn 0.248 0.248 0.248
Zn 0.752 0.752 0.752
Ru 0.500 0.500 0.500
```

---

The following is a DFT calculation (PBE) of a relaxed structure of Li2Zn8Ru. Values from VASP.

Values from the calculation:
Space group   Immm (71)
Formation enthalpy at 0 K   -0.085 eV/atom
E_tot   -0.16188 Ry/atom

```
&SYSTEM
  ibrav = 0, nat = 11, ntyp = 3
/
ATOMIC_SPECIES
Li 6.94 Li.upf
Zn 65.41 Zn.upf
Ru 101.07 Ru.upf
CELL_PARAMETERS angstrom
-1.937 4.023 5.536
1.937 -4.023 5.536
1.937 4.023 -5.536
ATOMIC_POSITIONS crystal
Li 0.146 0.146 0.000
Li 0.854 0.854 0.000
Zn 0.096 0.337 0.759
Zn 0.284 0.000 0.284
Zn 0.316 0.816 0.500
Zn 0.423 0.663 0.759
Zn 0.577 0.337 0.241
Zn 0.684 0.184 0.500
Zn 0.716 0.000 0.716
Zn 0.904 0.663 0.241
Ru 0.500 0.500 0.000
```

---

The following is a DFT calculation (PBE) of a relaxed structure of LiZn2Ru. Values from VASP.

Values from the calculation:
Space group   Cmm2 (35)
Formation enthalpy at 0 K   0.071 eV/atom
E_tot   -0.24722 Ry/atom

```
&SYSTEM
  ibrav = 0, nat = 4, ntyp = 3
/
ATOMIC_SPECIES
Li 6.94 Li.upf
Zn 65.41 Zn.upf
Ru 101.07 Ru.upf
CELL_PARAMETERS angstrom
1.410 -2.256 0.000
1.410 2.256 0.000
0.000 0.000 9.000
ATOMIC_POSITIONS crystal
Li 0.000 0.000 0.000
Zn 0.000 0.000 0.488
Zn 0.500 0.500 0.747
Ru 0.500 0.500 0.244
```

---

The following is a DFT calculation (PBE) of a relaxed structure of Li2Zn7Ru. Values from VASP.

Values from the calculation:
Space group   P3m1 (156)
Formation enthalpy at 0 K   0.004 eV/atom
E_tot   -0.16152 Ry/atom

```
&SYSTEM
  ibrav = 0, nat = 10, ntyp = 3
/
ATOMIC_SPECIES
Li 6.94 Li.upf
Zn 65.41 Zn.upf
Ru 101.07 Ru.upf
CELL_PARAMETERS angstrom
4.232 0.000 0.000
-2.116 3.665 0.000
0.000 0.000 10.409
ATOMIC_POSITIONS crystal
Li 0.000 0.000 0.000
Li 0.333 0.667 0.580
Zn 0.000 0.000 0.252
Zn 0.000 0.000 0.726
Zn 0.333 0.667 0.078
Zn 0.333 0.667 0.326
Zn 0.333 0.667 0.826
Zn 0.667 0.333 0.430
Zn 0.667 0.333 0.921
Ru 0.667 0.333 0.178
```

---

The following is a DFT calculation (PBE) of a relaxed structure of Li12Zn6Ru. Values from VASP.

Values from the calculation:
Space group   R-3 (148)
Formation enthalpy at 0 K   -0.102 eV/atom
E_tot   -0.16178 Ry/atom

```
&SYSTEM
  ibrav = 0, nat = 19, ntyp = 3
/
ATOMIC_SPECIES
Li 6.94 Li.upf
Zn 65.41 Zn.upf
Ru 101.07 Ru.upf
CELL_PARAMETERS angstrom
4.735 2.734 4.028
-4.735 2.734 4.028
0.000 -5.467 4.028
ATOMIC_POSITIONS crystal
Li 0.026 0.929 0.306
Li 0.071 0.694 0.974
Li 0.127 0.464 0.349
Li 0.306 0.026 0.929
Li 0.349 0.127 0.464
Li 0.464 0.349 0.127
Li 0.536 0.651 0.873
Li 0.651 0.873 0.536
Li 0.694 0.974 0.071
Li 0.873 0.536 0.651
Li 0.929 0.306 0.026
Li 0.974 0.071 0.694
Zn 0.238 0.759 0.609
Zn 0.241 0.391 0.762
Zn 0.391 0.762 0.241
Zn 0.609 0.238 0.759
Zn 0.759 0.609 0.238
Zn 0.762 0.241 0.391
Ru 0.500 0.500 0.500
```

---

The following is a DFT calculation (PBE) of a relaxed structure of LiZn2Ru. Values from VASP.

Values from the calculation:
Space group   P4mm (99)
Formation enthalpy at 0 K   0.064 eV/atom
E_tot   -0.24770 Ry/atom

```
&SYSTEM
  ibrav = 0, nat = 4, ntyp = 3
/
ATOMIC_SPECIES
Li 6.94 Li.upf
Zn 65.41 Zn.upf
Ru 101.07 Ru.upf
CELL_PARAMETERS angstrom
3.290 0.000 0.000
0.000 3.290 0.000
0.000 0.000 5.280
ATOMIC_POSITIONS crystal
Li 0.000 0.000 0.000
Zn 0.000 0.000 0.465
Zn 0.500 0.500 0.762
Ru 0.500 0.500 0.258
```

---

The following is a DFT calculation (PBE) of a relaxed structure of LiZnRu3. Values from VASP.

Values from the calculation:
Space group   Pm-3m (221)
Energy above the lowest structure with this stoichiometry   2.32 eV per formula unit
Formation enthalpy at 0 K   1.521 eV/atom
E_tot   -0.34412 Ry/atom

```
&SYSTEM
  ibrav = 0, nat = 5, ntyp = 3
/
ATOMIC_SPECIES
Li 6.94 Li.upf
Zn 65.41 Zn.upf
Ru 101.07 Ru.upf
CELL_PARAMETERS angstrom
4.614 0.000 0.000
0.000 4.614 0.000
0.000 0.000 4.614
ATOMIC_POSITIONS crystal
Li 0.000 0.000 0.000
Zn 0.500 0.500 0.500
Ru 0.000 0.500 0.500
Ru 0.500 0.000 0.500
Ru 0.500 0.500 0.000
```

---

The following is a DFT calculation (PBE) of a relaxed structure of LiZn2Ru. Values from VASP.

Values from the calculation:
Space group   I-4m2 (119)
Formation enthalpy at 0 K   -0.055 eV/atom
E_tot   -0.25645 Ry/atom

```
&SYSTEM
  ibrav = 0, nat = 4, ntyp = 3
/
ATOMIC_SPECIES
Li 6.94 Li.upf
Zn 65.41 Zn.upf
Ru 101.07 Ru.upf
CELL_PARAMETERS angstrom
-1.856 1.856 3.946
1.856 -1.856 3.946
1.856 1.856 -3.946
ATOMIC_POSITIONS crystal
Li 0.000 0.000 0.000
Zn 0.500 0.500 0.000
Zn 0.750 0.250 0.500
Ru 0.250 0.750 0.500
```

---

The following is a DFT calculation (PBE) of a relaxed structure of LiZn2Ru. Values from VASP.

Values from the calculation:
Space group   Cmmm (65)
Formation enthalpy at 0 K   0.005 eV/atom
E_tot   -0.25205 Ry/atom

```
&SYSTEM
  ibrav = 0, nat = 4, ntyp = 3
/
ATOMIC_SPECIES
Li 6.94 Li.upf
Zn 65.41 Zn.upf
Ru 101.07 Ru.upf
CELL_PARAMETERS angstrom
1.456 -2.233 0.000
1.456 2.233 0.000
0.000 0.000 8.849
ATOMIC_POSITIONS crystal
Li 0.000 0.000 0.000
Zn 0.500 0.500 0.252
Zn 0.500 0.500 0.748
Ru 0.000 0.000 0.500
```

---

The following is a DFT calculation (PBE) of a relaxed structure of LiZn4Ru. Values from VASP.

Values from the calculation:
Space group   F-43m (216)
Energy above the lowest structure with this stoichiometry   0.76 eV per formula unit
Formation enthalpy at 0 K   0.016 eV/atom
E_tot   -0.19835 Ry/atom

```
&SYSTEM
  ibrav = 0, nat = 6, ntyp = 3
/
ATOMIC_SPECIES
Li 6.94 Li.upf
Zn 65.41 Zn.upf
Ru 101.07 Ru.upf
CELL_PARAMETERS angstrom
0.000 3.508 3.508
3.508 0.000 3.508
3.508 3.508 0.000
ATOMIC_POSITIONS crystal
Li 0.000 0.000 0.000
Zn 0.127 0.624 0.624
Zn 0.624 0.127 0.624
Zn 0.624 0.624 0.127
Zn 0.624 0.624 0.624
Ru 0.250 0.250 0.250
```

---

The following is a DFT calculation (PBE) of a relaxed structure of LiZnRu3. Values from VASP.

Values from the calculation:
Space group   Pm-3m (221)
Energy above the lowest structure with this stoichiometry   0.00 eV per formula unit
Formation enthalpy at 0 K   1.057 eV/atom
E_tot   -0.37820 Ry/atom

```
&SYSTEM
  ibrav = 0, nat = 5, ntyp = 3
/
ATOMIC_SPECIES
Li 6.94 Li.upf
Zn 65.41 Zn.upf
Ru 101.07 Ru.upf
CELL_PARAMETERS angstrom
4.115 0.000 0.000
0.000 4.115 0.000
0.000 0.000 4.115
ATOMIC_POSITIONS crystal
Li 0.000 0.000 0.000
Zn 0.500 0.500 0.500
Ru 0.000 0.000 0.500
Ru 0.000 0.500 0.000
Ru 0.500 0.000 0.000
```

---

The following is a DFT calculation (PBE) of a relaxed structure of Li2Zn4Ru. Values from VASP.

Values from the calculation:
Space group   Cmmm (65)
Formation enthalpy at 0 K   -0.090 eV/atom
E_tot   -0.19773 Ry/atom

```
&SYSTEM
  ibrav = 0, nat = 7, ntyp = 3
/
ATOMIC_SPECIES
Li 6.94 Li.upf
Zn 65.41 Zn.upf
Ru 101.07 Ru.upf
CELL_PARAMETERS angstrom
3.644 -3.734 0.000
3.644 3.734 0.000
0.000 0.000 4.126
ATOMIC_POSITIONS crystal
Li 0.213 0.787 0.000
Li 0.787 0.213 0.000
Zn 0.000 0.500 0.500
Zn 0.297 0.297 0.000
Zn 0.500 0.000 0.500
Zn 0.703 0.703 0.000
Ru 0.500 0.500 0.500
```